DFT (PBE) results for crystalline Sc2Os2Au at its relaxed geometry.

symmetry: P4/mbm (127)
crystal system: tetragonal
total moment: 0.00 μB per cell
density of states at the Fermi level: 0.58 states/eV per atom
energy of formation from the pure elements: -0.2286 eV/atom
electronic total energy: -7.909 eV/atom

Cell: 6.7974 6.7974 4.0366 Å, 90.00 90.00 90.00°
Positions (direct):
Sc (0.6778, 0.8222, 0.5000)
Sc (0.8222, 0.3222, 0.5000)
Sc (0.1778, 0.6778, 0.5000)
Sc (0.3222, 0.1778, 0.5000)
Os (0.8760, 0.6240, 0.0000)
Os (0.3760, 0.8760, 0.0000)
Os (0.6240, 0.1240, 0.0000)
Os (0.1240, 0.3760, 0.0000)
Au (0.5000, 0.5000, 0.0000)
Au (0.0000, 0.0000, 0.0000)

DFT (PBE) results for crystalline Sc2OsAu at its relaxed geometry.

symmetry: P4/mmm (123)
crystal system: tetragonal
total moment: 0.00 μB per cell
density of states at the Fermi level: 0.35 states/eV per atom
energy of formation from the pure elements: -0.6769 eV/atom
electronic total energy: -7.469 eV/atom

Cell: 3.2342 3.2342 6.9734 Å, 90.00 90.00 89.99°
Positions (direct):
Au (0.5000, 0.5000, 0.2500)
Sc (0.0000, 0.0000, 0.5256)
Sc (0.0000, 0.0000, 0.9744)
Os (0.5000, 0.5000, 0.7500)

DFT (PBE) results for crystalline Sc3OsAu at its relaxed geometry.

symmetry: Pm-3m (221)
crystal system: cubic
offset from the most stable computed form: 777.5 meV/atom
total moment: 0.00 μB per cell
density of states at the Fermi level: 1.15 states/eV per atom
energy of formation from the pure elements: 0.7095 eV/atom
electronic total energy: -5.991 eV/atom

Cell: 4.9915 4.9915 4.9915 Å, 90.00 90.00 90.00°
Positions (direct):
Sc (0.5000, 0.0000, 0.0000)
Sc (0.0000, 0.5000, 0.0000)
Sc (0.0000, 0.0000, 0.5000)
Os (0.5000, 0.5000, 0.5000)
Au (0.0000, 0.0000, 0.0000)

DFT (PBE) results for crystalline ScOs4Au at its relaxed geometry.

symmetry: F-43m (216)
crystal system: cubic
total moment: 0.00 μB per cell
density of states at the Fermi level: 1.48 states/eV per atom
energy of formation from the pure elements: 0.2502 eV/atom
electronic total energy: -8.838 eV/atom

Cell: 5.2092 5.2092 5.2092 Å, 60.00 60.00 60.00°
Positions (direct):
Os (0.8757, 0.3748, 0.3748)
Os (0.3748, 0.3748, 0.3748)
Os (0.3748, 0.3748, 0.8757)
Os (0.3748, 0.8757, 0.3748)
Au (0.0000, 0.0000, 0.0000)
Sc (0.7500, 0.7500, 0.7500)

DFT (PBE) results for crystalline Sc4OsAu at its relaxed geometry.

symmetry: F-43m (216)
crystal system: cubic
total moment: 0.00 μB per cell
density of states at the Fermi level: 1.06 states/eV per atom
energy of formation from the pure elements: 0.3358 eV/atom
electronic total energy: -6.303 eV/atom

Cell: 5.4390 5.4390 5.4390 Å, 60.00 60.00 60.00°
Positions (direct):
Au (0.7500, 0.7500, 0.7500)
Sc (0.3735, 0.3735, 0.8795)
Sc (0.8795, 0.3735, 0.3735)
Sc (0.3735, 0.8795, 0.3735)
Sc (0.3735, 0.3735, 0.3735)
Os (0.0000, 0.0000, 0.0000)

DFT (PBE) results for crystalline ScOsAu2 at its relaxed geometry.

symmetry: Cmm2 (35)
crystal system: orthorhombic
total moment: 0.00 μB per cell
density of states at the Fermi level: 0.71 states/eV per atom
energy of formation from the pure elements: 0.0294 eV/atom
electronic total energy: -6.000 eV/atom

Cell: 2.8600 2.8600 9.0270 Å, 90.00 90.00 107.88°
Positions (direct):
Au (0.0000, 0.0000, 0.9911)
Au (0.5000, 0.5000, 0.2593)
Os (0.0000, 0.0000, 0.5144)
Sc (0.5000, 0.5000, 0.7352)

DFT (PBE) results for crystalline ScOsAu2 at its relaxed geometry.

symmetry: I-4m2 (119)
crystal system: tetragonal
total moment: 0.43 μB per cell
density of states at the Fermi level: 1.03 states/eV per atom
energy of formation from the pure elements: -0.1004 eV/atom
electronic total energy: -6.129 eV/atom

Cell: 5.0524 5.0524 5.0524 Å, 132.34 132.42 69.63°
Last column: magnetic moment on the atom in μB.
Positions (direct):
Os (0.5001, 0.5001, 0.0000)  0.32
Au (0.0000, 0.0000, 0.0000)  0.01
Au (0.7500, 0.2500, 0.5000)  0.01
Sc (0.2500, 0.7500, 0.5000)  0.04

DFT (PBE) results for crystalline ScOsAu at its relaxed geometry.

symmetry: P3m1 (156)
crystal system: trigonal
offset from the most stable computed form: 80.5 meV/atom
total moment: 0.01 μB per cell
density of states at the Fermi level: 0.93 states/eV per atom
energy of formation from the pure elements: 0.0495 eV/atom
electronic total energy: -6.897 eV/atom

Cell: 4.6627 4.6627 2.7259 Å, 90.00 90.00 120.00°
Positions (direct):
Au (0.0000, 0.0000, 0.9570)
Os (0.6667, 0.3333, 0.3588)
Sc (0.3333, 0.6667, 0.6842)

DFT (PBE) results for crystalline ScOsAu2 at its relaxed geometry.

symmetry: I-42d (122)
crystal system: tetragonal
total moment: 0.00 μB per cell
density of states at the Fermi level: 0.96 states/eV per atom
energy of formation from the pure elements: 0.1933 eV/atom
electronic total energy: -5.836 eV/atom

Cell: 3.8911 3.8911 10.2539 Å, 79.06 79.06 90.00°
Positions (direct):
Sc (0.5000, 0.5000, 0.0000)
Sc (0.2500, 0.7500, 0.5000)
Au (0.3750, 0.3670, 0.7500)
Au (0.6330, 0.1250, 0.2500)
Au (0.1170, 0.6250, 0.2500)
Au (0.8750, 0.8830, 0.7500)
Os (0.7500, 0.2500, 0.5000)
Os (0.0000, 0.0000, 0.0000)

DFT (PBE) results for crystalline Sc2OsAu at its relaxed geometry.

symmetry: R3m (160)
crystal system: trigonal
total moment: 0.52 μB per cell
density of states at the Fermi level: 0.92 states/eV per atom
energy of formation from the pure elements: 0.1233 eV/atom
electronic total energy: -6.669 eV/atom

Cell: 9.4920 9.4920 9.4920 Å, 18.94 18.94 18.94°
Last column: magnetic moment on the atom in μB.
Positions (direct):
Sc (0.0127, 0.0127, 0.0127)  0.03
Sc (0.2416, 0.2416, 0.2416)  0.27
Au (0.4978, 0.4978, 0.4978)  0.01
Os (0.7480, 0.7480, 0.7480)  0.03

DFT (PBE) results for crystalline ScOsAu at its relaxed geometry.

symmetry: F-43m (216)
crystal system: cubic
offset from the most stable computed form: 407.1 meV/atom
total moment: 1.26 μB per cell
density of states at the Fermi level: 1.49 states/eV per atom
energy of formation from the pure elements: 0.3762 eV/atom
electronic total energy: -6.570 eV/atom

Cell: 4.4461 4.4461 4.4461 Å, 60.00 60.00 60.00°
Last column: magnetic moment on the atom in μB.
Positions (direct):
Au (0.5000, 0.5000, 0.5000)  0.20
Sc (0.0000, 0.0000, 0.0000)  0.08
Os (0.7500, 0.7500, 0.7500)  0.90

DFT (PBE) results for crystalline ScOsAu2 at its relaxed geometry.

symmetry: Cm (8)
crystal system: monoclinic
total moment: 0.00 μB per cell
density of states at the Fermi level: 0.98 states/eV per atom
energy of formation from the pure elements: -0.0654 eV/atom
electronic total energy: -6.094 eV/atom

Cell: 4.9988 4.9988 4.8133 Å, 75.97 75.97 36.92°
Positions (direct):
Os (0.4934, 0.4934, 0.5037)
Au (0.2444, 0.2444, 0.2560)
Au (0.0022, 0.0022, 0.0032)
Sc (0.7601, 0.7601, 0.7371)